Compound: Ca3YB
Source: Alexandria
Functional: GGA-PBE
Structure: relaxed

Cell: 5.399 5.399 5.399 Å, 90.00 90.00 90.00°
Fractional coordinates of all 5 atoms:
Y: 0.500 0.500 0.500
Ca: 0.000 0.500 0.000
Ca: 0.000 0.000 0.500
Ca: 0.500 0.000 0.000
B: 0.000 0.000 0.000

## Properties
E_form ... 377 meV/atom
Energy above the most stable polymorph in this dataset ... 0.000 eV per atom
N(E_F) ... 7.72 states/eV/cell
Calculated total energy ... -17.26 eV/cell

***

Compound: SmYSbO2
Source: Alexandria
Functional: GGA-PBE
Structure: relaxed

Cell: 3.909 3.909 7.307 Å, 105.51 105.51 90.00°
Fractional coordinates of all 5 atoms:
Sm: 0.836 0.836 0.672
Y: 0.166 0.166 0.333
O: 0.748 0.248 0.495
O: 0.248 0.748 0.495
Sb: 0.502 0.502 0.005

## Properties
N(E_F) ... 1.46 states/eV/cell
Formation energy (no corrections) ... -1281 kJ/mol of formula units
Calculated total energy ... -38.50 eV/cell

***

Compound: OsPd3F
Source: Alexandria
Functional: GGA-PBE
Structure: relaxed

Cell: 4.812 4.812 4.812 Å, 90.00 90.00 90.00°
Fractional coordinates of all 5 atoms:
Pd: 0.500 0.000 0.000
Pd: 0.000 0.000 0.500
Pd: 0.000 0.500 0.000
Os: 0.000 0.000 0.000
F: 0.500 0.500 0.500

## Properties
Energy above the most stable polymorph in this dataset ... 0.215 eV per atom
N(E_F) ... 5.81 states/eV/cell
Formation energy (no corrections) ... 515 kJ/mol of formula units
Calculated total energy ... -23.35 eV/cell